Y2CoAs2 | PBE | optimized geometry

For the calculated volume, the calculation gives 195.08 Å³ per cell. The calculation puts the formation energy at -0.8037 eV per atom.

It has space group P4/mbm (No. 127), with a = 6.679 Å, b = 6.679 Å, c = 4.373 Å, α = 90.00°, β = 90.00° and γ = 90.00°. The inequivalent atoms are Y at (0.173, 0.327, 0.000), Co at (0.000, 0.000, 0.500) and As at (0.143, 0.643, 0.500).